(1)
Tl2Hg3Pb3 | GGA-PBE | relaxed

Structure (extended XYZ):
```
8
Lattice="5.4881 0.0000 0.0000 0.0000 3.7460 0.0000 -2.7441 -1.8730 11.2854" Properties=species:S:1:pos:R:3 pbc="T T T"
Pb 2.7441 0.0000 0.0000
Pb 0.0000 0.0000 8.3659
Pb 2.7441 1.8730 2.9194
Tl 0.0000 1.8730 5.2936
Tl 2.7441 0.0000 5.9918
Hg 0.0000 1.8730 0.0000
Hg 0.0000 0.0000 2.5830
Hg 2.7441 1.8730 8.7023
```

Calculated values
ΔE_f = 16.7 meV/atom
theoretical density = 11.68 g/cm³



(2)
Tl5HgPb | GGA-PBE | relaxed

Structure (extended XYZ):
```
14
Lattice="5.6257 -0.3212 1.5996 0.1709 7.0115 0.0486 -0.1675 -0.1606 11.2816" Properties=species:S:1:pos:R:3 pbc="T T T"
Hg 5.2735 4.9375 3.3256
Hg 0.3557 1.5923 9.6042
Pb 3.7876 4.9375 8.5514
Pb 1.8415 1.5923 4.3784
Tl 1.7185 5.9715 11.0025
Tl 1.0998 3.4371 7.0734
Tl 4.2576 3.9034 11.7244
Tl 3.9107 0.5582 1.9273
Tl 4.5293 3.0927 5.8564
Tl 3.5501 1.4317 9.0621
Tl 1.3715 2.6264 1.2053
Tl 1.2252 6.7591 7.1090
Tl 2.0791 5.0981 3.8677
Tl 4.4040 -0.2293 5.8207
```

Calculated values
ΔE_f = 42.9 meV/atom
theoretical density = 10.61 g/cm³
energy relative to the lowest polymorph listed for this composition = 0.0 meV per atom



(3)
Tl17Hg11Pb | GGA-PBE | relaxed

Structure (extended XYZ):
```
29
Lattice="-6.4060 5.3326 5.7148 -5.2986 -4.6406 -7.2473 5.4260 -7.3519 6.1203" Properties=species:S:1:pos:R:3 pbc="T T T"
Hg -2.8994 -7.6926 3.7422
Hg 2.1841 -5.9725 4.7819
Hg -5.1982 2.1749 4.3791
Hg -1.7688 -0.4175 8.5365
Hg -3.1055 -5.8366 6.1543
Hg 0.3835 -2.6443 8.4986
Hg -1.0999 -3.5535 0.5963
Hg -1.3183 -1.5869 3.1522
Hg -4.5041 -4.0761 -3.7453
Hg 1.0706 -8.8324 0.4560
Hg -0.8749 -8.4676 -1.9261
Tl -2.1623 -2.6491 6.0409
Tl -6.2074 -6.5754 4.5288
Tl 1.2804 -2.8193 5.3837
Tl -5.5353 1.6527 1.0882
Tl -4.0762 -4.1888 2.8746
Tl -1.7150 -6.6781 0.8044
Tl -7.5404 -2.7796 -5.0996
Tl -7.4736 -3.7283 -1.7914
Tl -4.5959 -0.9158 3.7442
Tl -8.2449 3.5651 3.1465
Tl -6.4992 -1.7659 0.8034
Tl 1.6121 -5.8070 1.5006
Tl -0.8410 -4.9266 3.7187
Tl -5.2326 -1.0729 -2.4543
Tl -7.9032 0.1411 3.2376
Tl -4.2292 -4.2182 -0.5480
Tl -9.8922 -1.7344 0.4893
Pb -3.2178 -1.1415 0.6034
```

Calculated values
ΔE_f = 0.0 meV/atom
theoretical density = 11.46 g/cm³



(4)
Tl5Hg3Pb | GGA-PBE | relaxed

Structure (extended XYZ):
```
18
Lattice="7.3936 0.0000 0.0000 -3.6968 7.4974 -2.6734 0.0000 -0.0384 10.6947" Properties=species:S:1:pos:R:3 pbc="T T T"
Hg 0.0000 0.0000 0.0000
Hg -0.0577 5.0485 -0.0129
Hg 0.0000 -0.0192 5.3474
Hg 3.6391 2.4298 2.6869
Hg 0.0577 5.0292 5.3344
Hg 3.7545 2.4105 8.0343
Tl -1.8129 4.9411 2.6858
Tl 1.9241 2.4781 5.3778
Tl 5.5097 2.5178 5.3356
Tl 1.8838 2.5371 -0.0117
Tl 1.7913 -0.0288 8.0211
Tl 1.7726 4.9809 2.6436
Tl 5.4694 2.4973 0.0304
Tl -1.7726 4.9617 7.9910
Tl 1.8129 4.9219 8.0331
Tl 5.6022 -0.0096 2.6737
Pb 1.6737 -0.0096 2.6737
Pb 5.7198 -0.0288 8.0211
```

Calculated values
ΔE_f = 61.3 meV/atom
theoretical density = 10.27 g/cm³
energy relative to the lowest polymorph listed for this composition = 59.2 meV per atom



(5)
TlHg2Pb | GGA-PBE | relaxed

Structure (extended XYZ):
```
4
Lattice="3.4081 0.0000 0.0000 0.0000 5.8616 0.0000 0.0000 0.0000 5.8569" Properties=species:S:1:pos:R:3 pbc="T T T"
Hg 0.0000 0.0000 0.0000
Hg 1.7040 2.9308 0.0000
Tl 0.0000 2.9308 2.9284
Pb 1.7040 0.0000 2.9284
```

Calculated values
ΔE_f = 20.9 meV/atom
theoretical density = 11.54 g/cm³



(6)
TlHgPb | GGA-PBE | relaxed

Structure (extended XYZ):
```
3
Lattice="-3.0949 0.7392 8.1727 -5.7155 -0.3901 6.2626 1.5737 -2.4377 1.8363" Properties=species:S:1:pos:R:3 pbc="T T T"
Tl -5.2856 -0.5969 10.1587
Hg 1.5691 -2.4365 1.8419
Pb -1.9464 -1.4930 6.1073
```

Calculated values
ΔE_f = 18.4 meV/atom
theoretical density = 11.44 g/cm³
energy relative to the lowest polymorph listed for this composition = 29.0 meV per atom



(7)
Tl5HgPb6 | GGA-PBE | relaxed

Structure (extended XYZ):
```
12
Lattice="6.0095 1.0312 -1.0057 -2.1934 7.3726 -1.0328 0.2102 1.7449 7.5594" Properties=species:S:1:pos:R:3 pbc="T T T"
Pb 3.4232 6.6952 5.5706
Pb 0.6031 3.4535 -0.0498
Pb 4.0500 3.0220 0.8464
Pb -0.0237 7.1268 4.6745
Pb 2.6277 8.5578 2.7270
Pb 1.3986 1.5910 2.7939
Tl -0.5823 3.6005 4.7264
Tl 1.2084 6.9586 -0.1163
Tl 2.0131 5.0744 2.7604
Tl 2.8179 3.1902 5.6372
Tl -1.4009 5.5170 1.8002
Hg 0.0000 0.0000 0.0000
```

Calculated values
ΔE_f = 3.3 meV/atom
theoretical density = 11.13 g/cm³



(8)
TlHg17Pb | GGA-PBE | relaxed

Structure (extended XYZ):
```
19
Lattice="8.2733 0.7839 1.8531 1.6473 8.1455 1.8531 0.8709 0.7839 8.4335" Properties=species:S:1:pos:R:3 pbc="T T T"
Hg 5.8646 2.9788 6.5972
Hg 4.5939 8.1355 5.1678
Hg 8.5725 3.7154 5.1678
Hg 3.2377 0.8010 6.3844
Hg 5.9610 0.8010 3.9635
Hg 10.0920 9.0836 11.3526
Hg 9.7389 8.7659 8.2975
Hg 6.2073 3.1359 1.8764
Hg 4.1278 3.7154 9.1189
Hg 6.1326 5.5199 4.3258
Hg 7.0993 8.7659 10.6440
Hg 3.5775 5.5199 6.5972
Hg 1.1361 3.1359 6.3844
Hg 1.0283 0.9255 1.1567
Hg 9.4621 6.1408 10.6440
Hg 3.7696 5.8442 1.8763
Hg 1.4218 5.8442 3.9635
Tl 6.9456 6.2516 7.8132
Pb 3.5514 3.1965 3.9950
```

Calculated values
ΔE_f = 19.9 meV/atom
theoretical density = 11.84 g/cm³



Which formula does entry 8 have?
TlHg17Pb



Please write out number 2 again, unchanged.
Tl5HgPb | GGA-PBE | relaxed

Structure (extended XYZ):
```
14
Lattice="5.6257 -0.3212 1.5996 0.1709 7.0115 0.0486 -0.1675 -0.1606 11.2816" Properties=species:S:1:pos:R:3 pbc="T T T"
Hg 5.2735 4.9375 3.3256
Hg 0.3557 1.5923 9.6042
Pb 3.7876 4.9375 8.5514
Pb 1.8415 1.5923 4.3784
Tl 1.7185 5.9715 11.0025
Tl 1.0998 3.4371 7.0734
Tl 4.2576 3.9034 11.7244
Tl 3.9107 0.5582 1.9273
Tl 4.5293 3.0927 5.8564
Tl 3.5501 1.4317 9.0621
Tl 1.3715 2.6264 1.2053
Tl 1.2252 6.7591 7.1090
Tl 2.0791 5.0981 3.8677
Tl 4.4040 -0.2293 5.8207
```

Calculated values
ΔE_f = 42.9 meV/atom
theoretical density = 10.61 g/cm³
energy relative to the lowest polymorph listed for this composition = 0.0 meV per atom



Among the records above, which one has the highest theoretical density?
TlHg17Pb